Entry 1:
{
  "formula": "LaHoPt10",
  "functional": "PBE",
  "state": "relaxed",
  "lattice": [[4.4505, 0.0000, 0.0000], [0.0000, 5.4104, 0.0000], [0.0000, 0.0000, 9.3335]],
  "species": ["Pt", "Pt", "Ho", "Pt", "Pt", "Pt", "Pt", "La", "Pt", "Pt", "Pt", "Pt"],
  "frac_coords": [[0.5000, 0.7484, 0.2533], [0.5000, 0.5000, 0.0000], [0.0000, 0.5000, 0.5000], [0.5000, 0.0000, 0.5000], [0.0000, 0.0000, 0.6628], [0.5000, 0.2516, 0.2533], [0.0000, 0.5000, 0.1724], [0.0000, 0.0000, 0.0000], [0.5000, 0.2516, 0.7467], [0.0000, 0.0000, 0.3372], [0.5000, 0.7484, 0.7467], [0.0000, 0.5000, 0.8276]],
  "density_g_cm3": 16.7,
  "crystal_system": "orthorhombic",
  "e_tot_ev_per_atom": -6.553,
  "vol_a3_per_cell": 225
}


Entry 2:
{
  "formula": "Ag3Au5",
  "functional": "PBE",
  "state": "relaxed",
  "lattice": [[-6.7340, -1.4581, -4.2194], [0.3570, -1.9376, 7.8356], [-1.8502, 4.8386, 1.2808]],
  "species": ["Ag", "Au", "Au", "Au", "Ag", "Ag", "Ag", "Au", "Au", "Au", "Au", "Au", "Ag", "Ag", "Au", "Au"],
  "frac_coords": [[0.5971, 0.5971, 0.7500], [0.0000, 0.7841, 0.7500], [0.0000, 0.2159, 0.2500], [0.2159, 0.2159, 0.7500], [0.4029, 0.0000, 0.7500], [0.0000, 0.5972, 0.2500], [0.5972, 0.0000, 0.2500], [0.7841, 0.0000, 0.7500], [0.6667, 0.3333, 0.0000], [0.7841, 0.7841, 0.2500], [0.3333, 0.6667, 0.0000], [0.6667, 0.3333, 0.5000], [0.0000, 0.4028, 0.7500], [0.4029, 0.4029, 0.2500], [0.3333, 0.6667, 0.5000], [0.2159, 0.0000, 0.2500]],
  "density_g_cm3": 14.4,
  "crystal_system": "hexagonal",
  "e_tot_ev_per_atom": -3.016,
  "vol_a3_per_cell": 302
}


Entry 3:
{
  "formula": "PmLuCuSi",
  "functional": "PBE",
  "state": "relaxed",
  "lattice": [[4.9515, 0.0000, 0.0000], [2.4758, 4.2882, 0.0000], [2.4758, 1.4294, 4.0429]],
  "species": ["Si", "Lu", "Cu", "Pm"],
  "frac_coords": [[0.7500, 0.7500, 0.7500], [0.0000, 0.0000, 0.0000], [0.2500, 0.2500, 0.2500], [0.5000, 0.5000, 0.5000]],
  "density_g_cm3": 8.0,
  "crystal_system": "cubic",
  "formation_energy_uncorrected_ev_per_atom": -0.394,
  "e_tot_ev_per_atom": -5.092,
  "vol_a3_per_cell": 86
}


Entry 4:
{
  "formula": "Ba2LiOs",
  "functional": "PBE",
  "state": "relaxed",
  "lattice": [[-6.0649, 1.2289, -8.0614], [-2.3709, -0.0451, -9.8821], [-5.1013, -2.9676, -8.2735]],
  "species": ["Os", "Ba", "Li", "Ba"],
  "frac_coords": [[0.7500, 0.7500, 0.7500], [0.0205, 0.0205, 0.0205], [0.2500, 0.2500, 0.2500], [0.4795, 0.4795, 0.4795]],
  "density_g_cm3": 4.9,
  "crystal_system": "trigonal",
  "e_tot_ev_per_atom": -3.512,
  "vol_a3_per_cell": 159
}


Entry 5:
{
  "formula": "Nd8Al2Tl",
  "functional": "PBE",
  "state": "relaxed",
  "lattice": [[4.9123, 0.0000, -1.4950], [-1.2941, 7.4866, -4.2520], [0.0872, 0.1233, 9.1045]],
  "species": ["Tl", "Nd", "Nd", "Nd", "Al", "Nd", "Nd", "Nd", "Nd", "Nd", "Al"],
  "frac_coords": [[0.5000, 0.0000, 0.0000], [0.6613, 0.8805, 0.3226], [0.6613, 0.4421, 0.3226], [0.3387, 0.1195, 0.6774], [0.8069, 0.3068, 0.6137], [0.8550, 0.8550, 0.7100], [0.3387, 0.5579, 0.6774], [0.0000, 0.3160, 0.0000], [0.0000, 0.6840, 0.0000], [0.1450, 0.1450, 0.2900], [0.1931, 0.6932, 0.3863]],
  "density_g_cm3": 6.9,
  "crystal_system": "orthorhombic",
  "e_tot_ev_per_atom": -4.512,
  "vol_a3_per_cell": 339
}


Entry 6:
{
  "formula": "Ba2ZnPbN",
  "functional": "PBE",
  "state": "relaxed",
  "lattice": [[4.1085, 0.0000, 0.0000], [0.0000, 7.8173, -0.0565], [0.0000, -3.4244, 9.6452]],
  "species": ["N", "Ba", "N", "Ba", "Pb", "Zn", "Pb", "Ba", "Zn", "Ba"],
  "frac_coords": [[0.2500, 0.8283, 0.8372], [0.7500, 0.8039, 0.0300], [0.7500, 0.1717, 0.1628], [0.2500, 0.1961, 0.9700], [0.2500, 0.6939, 0.3083], [0.2500, 0.5648, 0.7681], [0.7500, 0.3061, 0.6917], [0.2500, 0.1922, 0.3606], [0.7500, 0.4352, 0.2319], [0.7500, 0.8078, 0.6394]],
  "density_g_cm3": 6.0,
  "crystal_system": "monoclinic",
  "formation_energy_uncorrected_ev_per_atom": -0.436,
  "e_tot_ev_per_atom": -3.867,
  "vol_a3_per_cell": 309
}


Entry 7:
{
  "formula": "ThTl2S2I2",
  "functional": "PBE",
  "state": "relaxed",
  "lattice": [[-3.0171, 4.0624, -2.0279], [-3.9576, -1.1596, 3.5652], [7.1710, 4.2515, 5.1752]],
  "species": ["S", "S", "Tl", "Tl", "I", "Th", "I"],
  "frac_coords": [[0.5000, 0.0000, 0.0000], [0.0000, 0.5000, 0.0000], [0.3837, 0.3837, 0.7674], [0.6163, 0.6163, 0.2326], [0.8260, 0.8260, 0.6520], [0.0000, 0.0000, 0.0000], [0.1740, 0.1740, 0.3480]],
  "density_g_cm3": 5.9,
  "crystal_system": "tetragonal",
  "formation_energy_uncorrected_ev_per_atom": -1.120,
  "e_tot_ev_per_atom": -4.478,
  "vol_a3_per_cell": 268
}


Entry 8:
{
  "formula": "Dy12FeAg6",
  "functional": "PBE",
  "state": "relaxed",
  "lattice": [[8.0141, 0.3643, 0.4364], [-0.8549, 7.9767, 0.4364], [-0.8549, -0.9960, 7.9263]],
  "species": ["Ag", "Ag", "Dy", "Dy", "Dy", "Dy", "Dy", "Fe", "Ag", "Dy", "Dy", "Dy", "Dy", "Dy", "Ag", "Dy", "Dy", "Ag", "Ag"],
  "frac_coords": [[0.2588, 0.6550, 0.8609], [0.8609, 0.2588, 0.6550], [0.0890, 0.3106, 0.9684], [0.6894, 0.0316, 0.9110], [0.4580, 0.8026, 0.5695], [0.9684, 0.0890, 0.3106], [0.9110, 0.6894, 0.0316], [0.0000, 0.0000, 0.0000], [0.7412, 0.3450, 0.1391], [0.5420, 0.1974, 0.4305], [0.0316, 0.9110, 0.6894], [0.5695, 0.4580, 0.8026], [0.3106, 0.9684, 0.0890], [0.4305, 0.5420, 0.1974], [0.6550, 0.8609, 0.2588], [0.8026, 0.5695, 0.4580], [0.1974, 0.4305, 0.5420], [0.1391, 0.7412, 0.3450], [0.3450, 0.1391, 0.7412]],
  "density_g_cm3": 8.5,
  "crystal_system": "trigonal",
  "e_tot_ev_per_atom": -4.333,
  "vol_a3_per_cell": 516
}


Entry 9:
{
  "formula": "Tb2DyHo3Sb6",
  "functional": "PBE",
  "state": "relaxed",
  "lattice": [[-1.7475, -0.1823, -4.0123], [2.1053, -8.4870, -0.5314], [-7.8746, -0.0675, 5.8236]],
  "species": ["Sb", "Sb", "Sb", "Tb", "Ho", "Tb", "Sb", "Ho", "Ho", "Sb", "Sb", "Dy"],
  "frac_coords": [[0.3331, 0.9184, 0.6663], [0.9994, 0.2505, 0.9989], [0.6661, 0.5844, 0.3322], [0.8334, 0.6670, 0.6667], [0.8332, 0.1668, 0.6664], [0.1666, 0.3330, 0.3333], [0.3339, 0.4156, 0.6678], [0.1668, 0.8332, 0.3336], [0.5000, 0.5000, 0.0000], [0.6669, 0.0816, 0.3337], [0.0006, 0.7495, 0.0011], [0.5000, 0.0000, 0.0000]],
  "density_g_cm3": 7.9,
  "crystal_system": "monoclinic",
  "formation_energy_uncorrected_ev_per_atom": -1.129,
  "e_tot_ev_per_atom": -5.489,
  "vol_a3_per_cell": 357
}


Entry 10:
{
  "formula": "SrLi4In",
  "functional": "PBE",
  "state": "relaxed",
  "lattice": [[5.7732, 0.0000, 0.0000], [2.8866, 4.9998, 0.0000], [2.8866, 1.6666, 4.7138]],
  "species": ["Li", "In", "Li", "Sr", "Li", "Li"],
  "frac_coords": [[0.1161, 0.6280, 0.6280], [0.0000, 0.0000, 0.0000], [0.6280, 0.1161, 0.6280], [0.2500, 0.2500, 0.2500], [0.6280, 0.6280, 0.6280], [0.6280, 0.6280, 0.1161]],
  "density_g_cm3": 2.8,
  "crystal_system": "cubic",
  "e_tot_ev_per_atom": -2.169,
  "vol_a3_per_cell": 136
}


Entry 11:
{
  "formula": "Te2HCl",
  "functional": "PBE",
  "state": "relaxed",
  "lattice": [[2.1912, -2.5022, 3.6290], [-1.2411, 0.8650, 4.6844], [-2.5294, -3.3743, 2.5394]],
  "species": ["Te", "Te", "Cl", "H"],
  "frac_coords": [[0.7500, 0.7500, 0.7500], [0.2500, 0.2500, 0.2500], [0.5000, 0.5000, 0.5000], [0.0000, 0.0000, 0.0000]],
  "density_g_cm3": 5.7,
  "crystal_system": "cubic",
  "e_tot_ev_per_atom": -2.081,
  "vol_a3_per_cell": 84
}


Entry 12:
{
  "formula": "CrPt2",
  "functional": "PBE",
  "state": "relaxed",
  "lattice": [[-0.0855, -0.0861, -2.7545], [-2.3402, -0.0869, 1.4552], [-0.3677, 6.6251, -0.1957]],
  "species": ["Pt", "Pt", "Cr"],
  "frac_coords": [[0.6667, 0.3333, 0.6861], [0.3333, 0.6667, 0.3139], [0.0000, 0.0000, 0.0000]],
  "density_g_cm3": 16.8,
  "crystal_system": "trigonal",
  "e_tot_ev_per_atom": -7.340,
  "vol_a3_per_cell": 44
}